Entry 1:
PBE Na8Al6Si6IClO24, optimized geometry; final energy = -6.7558 eV/atom; theoretical density = 2.39 g cm⁻³; space-group type = P23; raw formation energy = -122.83 eV per formula unit
1.0
9.037 0.000 0.000
0.000 9.037 0.000
0.000 0.000 9.037
Na Al Si I Cl O
8 6 6 1 1 24
direct
0.181 0.181 0.181 Na
0.181 0.819 0.819 Na
0.307 0.307 0.693 Na
0.307 0.693 0.307 Na
0.693 0.307 0.307 Na
0.693 0.693 0.693 Na
0.819 0.181 0.819 Na
0.819 0.819 0.181 Na
0.000 0.250 0.500 Al
0.000 0.750 0.500 Al
0.250 0.500 0.000 Al
0.500 0.000 0.250 Al
0.500 0.000 0.750 Al
0.750 0.500 0.000 Al
0.000 0.500 0.249 Si
0.000 0.500 0.751 Si
0.249 0.000 0.500 Si
0.500 0.249 0.000 Si
0.500 0.751 0.000 Si
0.751 0.000 0.500 Si
0.500 0.500 0.500 I
0.000 0.000 0.000 Cl
0.057 0.359 0.651 O
0.057 0.641 0.349 O
0.140 0.442 0.150 O
0.140 0.558 0.850 O
0.150 0.140 0.442 O
0.150 0.860 0.558 O
0.349 0.057 0.641 O
0.349 0.943 0.359 O
0.359 0.349 0.943 O
0.359 0.651 0.057 O
0.442 0.150 0.140 O
0.442 0.850 0.860 O
0.558 0.150 0.860 O
0.558 0.850 0.140 O
0.641 0.349 0.057 O
0.641 0.651 0.943 O
0.651 0.057 0.359 O
0.651 0.943 0.641 O
0.850 0.140 0.558 O
0.850 0.860 0.442 O
0.860 0.442 0.850 O
0.860 0.558 0.150 O
0.943 0.359 0.349 O
0.943 0.641 0.651 O

---

Entry 2:
PBE NbAlRhICl, optimized geometry; final energy = -5.4044 eV/atom; theoretical density = 4.81 g cm⁻³; space-group type = Cm; raw formation energy = -2.46 eV per formula unit; polymorph energy (0 for the lowest one) = 0.000 eV/atom
1.0
3.853 -1.756 0.000
3.853 1.756 0.000
-2.093 0.000 9.836
Nb Al Rh I Cl
1 1 1 1 1
direct
0.000 0.000 0.000 Nb
0.338 0.338 0.771 Al
0.680 0.680 0.893 Rh
0.509 0.509 0.221 I
0.305 0.305 0.557 Cl

---

Entry 3:
PBE NbAlRhICl, optimized geometry; final energy = -5.3102 eV/atom; theoretical density = 5.40 g cm⁻³; space-group type = Cm; raw formation energy = -1.99 eV per formula unit; polymorph energy (0 for the lowest one) = 0.094 eV/atom
1.0
9.215 -1.721 0.000
9.215 1.721 0.000
-0.086 0.000 3.737
Nb Al Rh I Cl
1 1 1 1 1
direct
0.000 0.000 0.000 Nb
0.627 0.627 0.982 Al
0.090 0.090 0.471 Rh
0.407 0.407 0.441 I
0.743 0.743 0.906 Cl

---

Entry 4:
PBE NbAlRhICl, optimized geometry; final energy = -5.3455 eV/atom; theoretical density = 5.24 g cm⁻³; space-group type = P1; raw formation energy = -2.17 eV per formula unit; polymorph energy (0 for the lowest one) = 0.059 eV/atom
1.0
3.263 0.000 0.000
-1.629 3.809 0.000
-0.052 -0.801 9.821
Nb Al Rh I Cl
1 1 1 1 1
direct
0.000 0.000 0.000 Nb
0.601 0.193 0.262 Al
0.278 0.551 0.140 Rh
0.280 0.565 0.806 I
0.532 0.048 0.466 Cl

---

Entry 5:
PBE NbAlRhICl, optimized geometry; final energy = -5.3699 eV/atom; theoretical density = 5.37 g cm⁻³; space-group type = P1; raw formation energy = -2.29 eV per formula unit; polymorph energy (0 for the lowest one) = 0.035 eV/atom
1.0
3.294 0.000 0.000
1.643 3.408 0.000
0.038 0.849 10.609
Nb Al Rh I Cl
1 1 1 1 1
direct
0.000 0.000 0.000 Nb
0.969 0.067 0.715 Al
0.688 0.626 0.852 Rh
0.708 0.579 0.188 I
0.437 0.134 0.552 Cl

---

Entry 6:
PBE NbAlRhICl, optimized geometry; final energy = -5.3816 eV/atom; theoretical density = 6.01 g cm⁻³; space-group type = Pm; raw formation energy = -2.35 eV per formula unit; polymorph energy (0 for the lowest one) = 0.023 eV/atom
1.0
3.174 0.000 0.000
0.000 3.279 0.000
-1.565 0.000 10.234
Nb Al Rh I Cl
1 1 1 1 1
direct
0.000 0.000 0.000 Nb
0.149 0.000 0.303 Al
0.584 0.500 0.171 Rh
0.416 0.500 0.829 I
0.735 0.000 0.477 Cl

---

Entry 7:
PBE NbAlRhICl, optimized geometry; final energy = -5.3843 eV/atom; theoretical density = 6.08 g cm⁻³; space-group type = P4mm; raw formation energy = -2.36 eV per formula unit; polymorph energy (0 for the lowest one) = 0.020 eV/atom
1.0
3.237 0.000 0.000
0.000 3.237 0.000
0.000 0.000 10.033
Nb Al Rh I Cl
1 1 1 1 1
direct
0.000 0.000 0.000 Nb
0.000 0.000 0.306 Al
0.500 0.500 0.176 Rh
0.500 0.500 0.826 I
0.000 0.000 0.519 Cl

---

Entry 8:
PBE Al2NiICl, optimized geometry; final energy = -2.6448 eV/atom; theoretical density = 2.56 g cm⁻³; space-group type = P4/mmm; raw formation energy = 3.44 eV per formula unit
1.0
6.225 0.000 0.000
0.000 6.225 0.000
0.000 0.000 4.604
Al Ni I Cl
2 1 1 1
direct
0.000 0.500 0.000 Al
0.500 0.000 0.000 Al
0.000 0.000 0.500 Ni
0.000 0.000 0.000 I
0.500 0.500 0.500 Cl

---

Entry 9:
PBE AlP2ICl, optimized geometry; final energy = -2.4654 eV/atom; theoretical density = 2.83 g cm⁻³; space-group type = P4/mmm; raw formation energy = 5.63 eV per formula unit; polymorph energy (0 for the lowest one) = 0.842 eV/atom
1.0
5.204 0.000 0.000
0.000 5.204 0.000
0.000 0.000 5.450
Al P I Cl
1 2 1 1
direct
0.000 0.000 0.000 Al
0.000 0.500 0.500 P
0.500 0.000 0.500 P
0.500 0.500 0.500 I
0.500 0.500 0.000 Cl

---

Entry 10:
PBE AlP2ICl, optimized geometry; final energy = -3.3071 eV/atom; theoretical density = 3.83 g cm⁻³; space-group type = P4/mmm; raw formation energy = 1.42 eV per formula unit; polymorph energy (0 for the lowest one) = 0.000 eV/atom
1.0
4.866 0.000 0.000
0.000 4.866 0.000
0.000 0.000 4.606
Al P I Cl
1 2 1 1
direct
0.000 0.000 0.000 Al
0.000 0.500 0.000 P
0.500 0.000 0.000 P
0.500 0.500 0.500 I
0.000 0.000 0.500 Cl